No. 1
# BaSrI3

Crystalline BaSrI3 at its relaxed geometry (PBE, Alexandria).

The structure in CIF format:
```
data_BaSrI3
_space_group_name_H-M_alt 'P m -3 m'
_space_group_IT_number 221
_space_group_name_Hall '-P 4 2 3'
_cell_length_a 6.713
_cell_length_b 6.713
_cell_length_c 6.713
_cell_angle_alpha 90.00
_cell_angle_beta 90.00
_cell_angle_gamma 90.00
loop_
_atom_site_label
_atom_site_fract_x
_atom_site_fract_y
_atom_site_fract_z
Ba1 0.000 0.000 0.000
Sr1 0.500 0.500 0.500
I1 0.000 0.000 0.500
```

raw total energy	-14.18	eV/cell
theoretical density	3325	kg/m3
relative energy among the computed polymorphs	0.425	eV/f.u.

No. 2
# Ba2SrI6

Crystalline Ba2SrI6 at its relaxed geometry (PBE, Alexandria).

The structure in CIF format:
```
data_Ba2SrI6
_space_group_name_H-M_alt 'P -4 b 2'
_space_group_IT_number 117
_cell_length_a 8.269
_cell_length_b 8.269
_cell_length_c 24.885
_cell_angle_alpha 90.00
_cell_angle_beta 90.00
_cell_angle_gamma 90.00
loop_
_space_group_symop_operation_xyz
'x,y,z'
'y,-x,-z'
'-x,-y,z'
'-y,x,-z'
'-x+1/2,y+1/2,z'
'-y+1/2,-x+1/2,-z'
'x+1/2,-y+1/2,z'
'y+1/2,x+1/2,-z'
loop_
_atom_site_label
_atom_site_fract_x
_atom_site_fract_y
_atom_site_fract_z
Ba1 0.000 0.000 0.165
Ba2 0.000 0.500 0.335
Sr1 0.000 0.000 0.500
Sr2 0.000 0.500 0.000
I1 0.234 0.234 0.419
I2 0.248 0.248 0.750
I3 0.249 0.750 0.920
```

raw total energy	-121.86	eV/cell
theoretical density	4386	kg/m3
relative energy among the computed polymorphs	0.061	eV/f.u.

No. 3
# Ba2SrI6

Crystalline Ba2SrI6 at its relaxed geometry (PBE, Alexandria).

The structure in CIF format:
```
data_Ba2SrI6
_space_group_name_H-M_alt 'P 1 21/c 1'
_space_group_IT_number 14
_cell_length_a 8.234
_cell_length_b 8.746
_cell_length_c 13.875
_cell_angle_alpha 90.00
_cell_angle_beta 118.74
_cell_angle_gamma 90.00
loop_
_space_group_symop_operation_xyz
'x,y,z'
'-x,-y,-z'
'-x,y+1/2,-z+1/2'
'x,-y+1/2,z+1/2'
loop_
_atom_site_label
_atom_site_fract_x
_atom_site_fract_y
_atom_site_fract_z
Ba1 0.175 0.103 0.227
Sr1 0.500 0.000 0.000
I1 0.120 0.189 0.941
I2 0.238 0.688 0.917
I3 0.415 0.058 0.749
```

raw total energy	-60.93	eV/cell
theoretical density	4259	kg/m3
relative energy among the computed polymorphs	0.061	eV/f.u.